(1)
{
  "formula": "AcTbTlPd",
  "functional": "PBE",
  "state": "relaxed",
  "e_form_mev_per_atom": -444,
  "final_energy_ev_per_atom": -4.519,
  "dos_ef_per_ev_atom": 1.024,
  "lattice": [[-0.3300, -5.1912, 1.5575], [4.2621, -3.3027, -0.6403], [2.7810, -1.7154, 4.3367]],
  "species": ["Tb", "Pd", "Ac", "Tl"],
  "frac_coords": [[0.5000, 0.5000, 0.5000], [0.2500, 0.2500, 0.2500], [0.0000, 0.0000, 0.0000], [0.7500, 0.7500, 0.7500]]
}

---

(2)
{
  "formula": "Mo2OsRh",
  "functional": "PBE",
  "state": "relaxed",
  "e_form_mev_per_atom": 44,
  "final_energy_ev_per_atom": -10.017,
  "dos_ef_per_ev_atom": 0.804,
  "relative_energy_mev_per_atom": 118,
  "lattice": [[-3.2047, -1.5992, 3.2209], [-2.0118, -3.8216, 2.1330], [2.8621, -0.3454, 3.8439]],
  "species": ["Os", "Mo", "Mo", "Rh"],
  "frac_coords": [[0.7500, 0.7500, 0.7500], [0.5001, 0.5001, 0.5017], [0.9999, 0.9999, 0.9983], [0.2500, 0.2500, 0.2500]]
}

---

(3)
{
  "formula": "Ta3CdPd",
  "functional": "PBE",
  "state": "relaxed",
  "e_form_mev_per_atom": 2276,
  "final_energy_ev_per_atom": -6.057,
  "dos_ef_per_ev_atom": 1.678,
  "relative_energy_mev_per_atom": 957,
  "lattice": [[4.9247, 0.0000, 0.0000], [0.0000, 4.9247, 0.0000], [0.0000, 0.0000, 4.9247]],
  "species": ["Cd", "Pd", "Ta", "Ta", "Ta"],
  "frac_coords": [[0.0000, 0.0000, 0.0000], [0.5000, 0.5000, 0.5000], [0.5000, 0.0000, 0.0000], [0.0000, 0.0000, 0.5000], [0.0000, 0.5000, 0.0000]]
}

---

(4)
{
  "formula": "LiCo2As2",
  "functional": "PBE",
  "state": "relaxed",
  "e_form_mev_per_atom": -188,
  "final_energy_ev_per_atom": -5.273,
  "dos_ef_per_ev_atom": 0.459,
  "lattice": [[-5.8307, -2.2846, 3.0430], [3.6913, -2.0441, 5.5383], [-0.3706, 2.5079, 1.1726]],
  "species": ["Co", "Co", "Co", "Co", "As", "As", "As", "As", "Li", "Li"],
  "frac_coords": [[0.3649, 0.1351, 0.5000], [0.8649, 0.3649, 0.5000], [0.6351, 0.8649, 0.5000], [0.1351, 0.6351, 0.5000], [0.6570, 0.1570, 0.0000], [0.3430, 0.8430, 0.0000], [0.8430, 0.6570, 0.0000], [0.1570, 0.3430, 0.0000], [0.5000, 0.5000, 0.0000], [0.0000, 0.0000, 0.0000]]
}

---

(5)
{
  "formula": "Ti2PdRu2",
  "functional": "PBE",
  "state": "relaxed",
  "e_form_mev_per_atom": -317,
  "final_energy_ev_per_atom": -8.224,
  "dos_ef_per_ev_atom": 0.781,
  "relative_energy_mev_per_atom": 34,
  "lattice": [[7.1624, 0.0000, 0.0000], [0.0000, 7.1624, 0.0000], [0.0000, 0.0000, 3.0018]],
  "species": ["Ru", "Ru", "Ru", "Ru", "Ti", "Ti", "Ti", "Ti", "Pd", "Pd"],
  "frac_coords": [[0.6484, 0.8516, 0.5000], [0.8516, 0.3516, 0.5000], [0.3516, 0.1484, 0.5000], [0.1484, 0.6484, 0.5000], [0.1503, 0.3497, 0.0000], [0.6503, 0.1503, 0.0000], [0.8497, 0.6503, 0.0000], [0.3497, 0.8497, 0.0000], [0.5000, 0.5000, 0.0000], [0.0000, 0.0000, 0.0000]]
}

---

(6)
{
  "formula": "YFePd6",
  "functional": "PBE",
  "state": "relaxed",
  "e_form_mev_per_atom": -450,
  "final_energy_ev_per_atom": -6.210,
  "dos_ef_per_ev_atom": 0.758,
  "lattice": [[4.0288, 0.0000, 0.0000], [0.0000, 4.0288, 0.0000], [0.0000, 0.0000, 7.9861]],
  "species": ["Pd", "Pd", "Pd", "Pd", "Pd", "Pd", "Y", "Fe"],
  "frac_coords": [[0.5000, 0.5000, 0.0000], [0.5000, 0.0000, 0.7321], [0.0000, 0.5000, 0.7321], [0.0000, 0.5000, 0.2679], [0.5000, 0.0000, 0.2679], [0.5000, 0.5000, 0.5000], [0.0000, 0.0000, 0.0000], [0.0000, 0.0000, 0.5000]]
}

---

(7)
{
  "formula": "SrLi2Mg2Cd2",
  "functional": "PBE",
  "state": "relaxed",
  "e_form_mev_per_atom": -171,
  "final_energy_ev_per_atom": -1.675,
  "dos_ef_per_ev_atom": 0.465,
  "lattice": [[5.0229, 0.0000, 0.0000], [-2.5114, 4.2966, -0.3735], [0.0000, -2.1955, 8.3218]],
  "species": ["Mg", "Mg", "Li", "Li", "Cd", "Cd", "Sr"],
  "frac_coords": [[0.5657, 0.1314, 0.6987], [0.4343, 0.8686, 0.3013], [0.8576, 0.7152, 0.5742], [0.1424, 0.2848, 0.4258], [0.7463, 0.4926, 0.2362], [0.2537, 0.5074, 0.7638], [0.0000, 0.0000, 0.0000]]
}

---

(8)
{
  "formula": "YHo2Tl",
  "functional": "PBE",
  "state": "relaxed",
  "e_form_mev_per_atom": -107,
  "final_energy_ev_per_atom": -4.603,
  "dos_ef_per_ev_atom": 1.118,
  "relative_energy_mev_per_atom": 88,
  "lattice": [[3.5597, 0.0000, 0.0000], [1.7799, 3.0828, 0.0000], [1.7799, 1.0276, 11.0214]],
  "species": ["Tl", "Ho", "Ho", "Y"],
  "frac_coords": [[0.0000, 0.0000, 0.0000], [0.7462, 0.7462, 0.7613], [0.2538, 0.2538, 0.2387], [0.5000, 0.5000, 0.5000]]
}